1.
This record from the Alexandria database describes a relaxed structure of TcSb2Os. The functional is GGA-PBE.

Unit cell a=4.2746 b=3.1600 c=5.5873 alpha=89.26 beta=90.00 gamma=90.00
Atoms (fractional coordinates):
Os 0.5000 0.7500 0.7500
Sb 0.0000 0.9620 0.0058
Sb 0.0000 0.5380 0.4942
Tc 0.5000 0.2500 0.2500

formation energy (no corrections) = 0.76 eV/atom
density = 11.7 g/cm³
relative energy among the computed polymorphs = 0.554 eV per atom
M_tot = 0.000 μB per atom
electronic total energy = -6.703 eV per atom



2.
This record from the Alexandria database describes a relaxed structure of TcSb2Os. The functional is GGA-PBE.

Unit cell a=3.1267 b=4.1643 c=5.6021 alpha=90.00 beta=90.00 gamma=90.00
Atoms (fractional coordinates):
Os 0.5000 0.5000 0.7896
Tc 0.0000 0.0000 0.4587
Sb 0.0000 0.0000 0.9472
Sb 0.5000 0.5000 0.3046

formation energy (no corrections) = 0.37 eV/atom
density = 12.1 g/cm³
relative energy among the computed polymorphs = 0.166 eV per atom
M_tot = 0.000 μB per atom
electronic total energy = -7.091 eV per atom



3.
This record from the Alexandria database describes a relaxed structure of Tc2SbOs. The functional is GGA-PBE.

Unit cell a=2.9149 b=3.9928 c=5.5136 alpha=90.00 beta=90.00 gamma=90.00
Atoms (fractional coordinates):
Tc 0.0000 0.0000 0.4808
Tc 0.0000 0.0000 0.0192
Sb 0.5000 0.5000 0.7500
Os 0.5000 0.5000 0.2500

formation energy (no corrections) = 0.37 eV/atom
density = 13.1 g/cm³
M_tot = 0.000 μB per atom
electronic total energy = -8.649 eV per atom



4.
This record from the Alexandria database describes a relaxed structure of Tc2SbOs. The functional is GGA-PBE.

Unit cell a=4.8633 b=4.8633 c=2.9382 alpha=90.00 beta=90.00 gamma=113.21
Atoms (fractional coordinates):
Sb 0.0000 0.5000 0.5000
Os 0.5000 0.0000 0.5000
Tc 0.0000 0.0000 0.0000
Tc 0.5000 0.5000 0.0000

formation energy (no corrections) = 0.44 eV/atom
density = 13.2 g/cm³
M_tot = 0.000 μB per atom
electronic total energy = -8.579 eV per atom



5.
This record from the Alexandria database describes a relaxed structure of Tc2SbOs. The functional is GGA-PBE.

Unit cell a=2.9408 b=3.9592 c=5.5330 alpha=90.00 beta=90.00 gamma=90.00
Atoms (fractional coordinates):
Tc 0.0000 0.0000 0.9945
Tc 0.5000 0.5000 0.2753
Os 0.0000 0.0000 0.4671
Sb 0.5000 0.5000 0.7630

formation energy (no corrections) = 0.38 eV/atom
density = 13.1 g/cm³
M_tot = 0.000 μB per atom
electronic total energy = -8.645 eV per atom



6.
This record from the Alexandria database describes a relaxed structure of Tc2SbOs. The functional is GGA-PBE.

Unit cell a=5.3052 b=5.3052 c=5.3052 alpha=146.21 beta=129.41 gamma=62.23
Atoms (fractional coordinates):
Tc 0.0159 0.0159 0.0000
Tc 0.7500 0.2500 0.5000
Sb 0.2503 0.7503 0.5000
Os 0.4839 0.4839 0.0000

formation energy (no corrections) = 0.37 eV/atom
density = 13.3 g/cm³
M_tot = 0.000 μB per atom
electronic total energy = -8.646 eV per atom



7.
This record from the Alexandria database describes a relaxed structure of Tc2SbOs. The functional is GGA-PBE.

Unit cell a=8.8861 b=8.8861 c=8.8861 alpha=18.94 beta=18.94 gamma=18.94
Atoms (fractional coordinates):
Sb 0.7499 0.7499 0.7499
Os 0.5028 0.5028 0.5028
Tc 0.9973 0.9973 0.9973
Tc 0.2500 0.2500 0.2500

formation energy (no corrections) = 0.42 eV/atom
density = 13.1 g/cm³
M_tot = 0.000 μB per atom
electronic total energy = -8.600 eV per atom



8.
This record from the Alexandria database describes a relaxed structure of TcSb2Os. The functional is GGA-PBE.

Unit cell a=5.5821 b=5.5821 c=5.5821 alpha=139.27 beta=139.27 gamma=58.97
Atoms (fractional coordinates):
Tc 0.5000 0.5000 0.0000
Sb 0.0000 0.0000 0.0000
Sb 0.2500 0.7500 0.5000
Os 0.7500 0.2500 0.5000

formation energy (no corrections) = 0.68 eV/atom
density = 12.0 g/cm³
relative energy among the computed polymorphs = 0.478 eV per atom
M_tot = 0.122 μB per atom
electronic total energy = -6.779 eV per atom